A relaxed Tc2HgMo crystal, computed with GGA-PBE.

Properties
Formation energy in eV per formula unit: 1.503

abc: 2.918 3.942 5.793
angles: 90.00 90.00 90.00
Element x y z (fractional)
Tc 0.000 0.000 0.209
Tc 0.000 0.000 0.791
Hg 0.500 0.500 0.500
Mo 0.500 0.500 0.000